No. 1
AcLa7Tb2 | the Alexandria database | PBE | relaxed; excess energy over the best structure of this formula in the dataset = 0.5316 eV per atom; V = 43.7 Å³ per atom; space-group type = Cmmm (65); DFT formation energy = 555 meV/atom
1.0
5.9102 0.0000 0.0000
0.0000 9.2764 -0.3256
0.0000 -4.4757 8.1318
La Ac Tb
7 1 2
direct
0.5000 0.0648 0.3029
0.0000 0.2461 0.7539
0.5000 0.5000 0.5000
0.0000 0.7539 0.2461
0.5000 0.9352 0.6971
0.5000 0.3029 0.0648
0.5000 0.6971 0.9352
0.0000 0.0000 0.0000
0.5000 0.7016 0.2984
0.5000 0.2984 0.7016



No. 2
Na3CePa2Se6 | the Alexandria database | PBE | relaxed; VASP energy = -66.3 eV per cell; V = 26.6 Å³ per atom; space-group type = C2/m (12)
1.0
7.1796 -0.0004 -0.0002
-3.5884 6.2185 -0.0002
-1.1978 -2.0741 7.1544
Pa Na Se Ce
2 3 6 1
direct
0.6665 0.3335 0.0000
0.3335 0.6665 0.0000
0.1645 0.8355 0.5000
0.8355 0.1645 0.5000
0.5000 0.5000 0.5000
0.2615 0.2615 0.7611
0.5792 0.9208 0.7621
0.0792 0.4208 0.2379
0.9208 0.5792 0.7621
0.7385 0.7385 0.2389
0.4208 0.0792 0.2379
0.0000 0.0000 0.0000



No. 3
Pa2AlNi3 | the Alexandria database | PBE | relaxed; V = 15.9 Å³ per atom; space-group type = P6_3/mmc (194); DFT formation energy = -475 meV/atom
1.0
5.2789 0.0000 0.0000
-2.6395 4.5717 0.0000
0.0000 0.0000 7.9143
Al Ni Pa
2 6 4
direct
0.0000 0.0000 0.5000
0.0000 0.0000 0.0000
0.1691 0.8309 0.2500
0.1691 0.3381 0.2500
0.3381 0.1691 0.7500
0.8309 0.1691 0.7500
0.6619 0.8309 0.2500
0.8309 0.6619 0.7500
0.3333 0.6667 0.9314
0.3333 0.6667 0.5686
0.6667 0.3333 0.4314
0.6667 0.3333 0.0686



No. 4
Sc2FeMo | the Alexandria database | PBE | relaxed; excess energy over the best structure of this formula in the dataset = 0.2195 eV per atom; V = 17.1 Å³ per atom; space-group type = P2/m (10); DFT formation energy = 245 meV/atom
1.0
4.2475 0.0000 0.0000
0.0000 2.8864 0.0406
0.0000 1.0999 5.5901
Mo Sc Fe
1 2 1
direct
0.5000 0.7500 0.7500
0.0000 0.0391 0.0085
0.0000 0.4609 0.4915
0.5000 0.2500 0.2500



No. 5
K2CeSnO6 | the Alexandria database | PBE | relaxed; VASP energy = -60.6 eV per cell; V = 16.1 Å³ per atom; space-group type = Fm-3m (225)
1.0
6.1002 -0.0016 0.0005
0.0006 6.1000 0.0005
3.0518 3.0508 4.3143
K O Ce Sn
2 6 1 1
direct
0.7497 0.2500 0.5001
0.2503 0.7500 0.4999
0.7415 0.7416 0.0001
0.2585 0.2584 0.9999
0.7416 0.2584 0.0000
0.7416 0.7417 0.5169
0.2584 0.7416 0.0000
0.2584 0.2583 0.4831
0.0000 0.0000 0.0000
0.5000 0.5000 0.0000



No. 6
Pm3TeAsBr | the Alexandria database | PBE | relaxed; VASP energy = -63.1 eV per cell; V = 32.2 Å³ per atom; space-group type = P2_1/m (11)
1.0
-1.6324 3.8720 0.1705
-5.3577 -2.5554 6.7327
7.4467 2.8553 6.4538
Te Pm Br As
2 6 2 2
direct
0.2500 0.1290 0.1755
0.7500 0.8710 0.8245
0.7500 0.8609 0.1323
0.2500 0.1391 0.8677
0.7500 0.3554 0.5770
0.7500 0.3962 0.1470
0.2500 0.6038 0.8530
0.2500 0.6446 0.4230
0.7500 0.8716 0.4223
0.2500 0.1284 0.5777
0.2500 0.6296 0.1396
0.7500 0.3704 0.8604



No. 7
Na2PuS2Br2 | the Alexandria database | PBE | relaxed; VASP energy = -37.9 eV per cell; V = 29.3 Å³ per atom; space-group type = I4/mmm (139)
1.0
-0.4077 0.0000 5.1898
-4.1313 -3.1507 -0.3245
6.8432 -4.4589 -2.0733
Br S Na Pu
2 2 2 1
direct
0.1864 0.1864 0.3728
0.8136 0.8136 0.6272
0.5000 0.0000 0.0000
0.0000 0.5000 0.0000
0.3785 0.3785 0.7570
0.6215 0.6215 0.2430
0.0000 0.0000 0.0000



No. 8
SrSbSeI2 | the Alexandria database | PBE | relaxed; excess energy over the best structure of this formula in the dataset = 0.3354 eV per atom; V = 53.0 Å³ per atom; space-group type = P4/mmm (123)
1.0
-2.1448 5.7017 -1.0742
-3.5511 -0.3843 5.0504
5.1324 2.6486 3.8103
Sb Se Sr I
1 1 1 2
direct
0.0000 0.0000 0.5000
0.5000 0.5000 0.5000
0.0000 0.0000 0.0000
0.5000 0.0000 0.0000
0.0000 0.5000 0.0000



No. 9
Nd8Te4P3Pd | the Alexandria database | PBE | relaxed; VASP energy = -94.9 eV per cell; V = 29.0 Å³ per atom; space-group type = R-3m (166)
1.0
-8.1624 0.9573 2.5224
-0.2882 -8.4847 2.2875
6.1371 5.0370 3.2985
Nd Te P Pd
8 4 3 1
direct
0.2665 0.2815 0.0240
0.2625 0.2877 0.5251
0.7375 0.7123 0.4749
0.7574 0.2815 0.5149
0.7335 0.7185 0.9760
0.2426 0.7185 0.4851
0.7575 0.2815 0.0240
0.2425 0.7185 0.9760
0.5000 0.0000 0.0000
0.0000 0.0000 0.0000
0.5000 0.0000 0.5000
0.0000 0.0000 0.5000
0.0000 0.5000 0.5000
0.5000 0.5000 0.0000
0.5000 0.5000 0.5000
0.0000 0.5000 0.0000



No. 10
Nd2Hg2Te | the Alexandria database | PBE | relaxed; VASP energy = -17.2 eV per cell; V = 28.3 Å³ per atom; space-group type = R-3m (166)
1.0
-3.4673 2.8913 2.0435
1.4588 -4.1319 2.3144
6.5673 2.8957 1.0327
Nd Hg Te
2 2 1
direct
0.1843 0.5927 0.7770
0.8157 0.4073 0.2230
0.3570 0.1786 0.5355
0.6430 0.8214 0.4645
0.0000 0.0000 0.0000



No. 11
Na3LiPd | the Alexandria database | PBE | relaxed; excess energy over the best structure of this formula in the dataset = 0.3550 eV per atom; V = 27.6 Å³ per atom; space-group type = Pm-3m (221); DFT formation energy = 501 meV/atom
1.0
5.1704 0.0000 0.0000
0.0000 5.1704 0.0000
0.0000 0.0000 5.1704
Na Pd Li
3 1 1
direct
0.0000 0.5000 0.0000
0.5000 0.0000 0.0000
0.0000 0.0000 0.5000
0.5000 0.5000 0.5000
0.0000 0.0000 0.0000



No. 12
CeSm3Co | the Alexandria database | PBE | relaxed; V = 31.3 Å³ per atom; space-group type = Pm-3m (221); DFT formation energy = 130 meV/atom
1.0
-0.6555 2.9659 -4.4518
-1.6775 -4.3728 -2.6663
-5.0795 1.0614 1.4551
Sm Co Ce
3 1 1
direct
0.5000 0.0000 0.0000
0.0000 0.5000 0.0000
0.0000 0.0000 0.5000
0.0000 0.0000 0.0000
0.5000 0.5000 0.5000



No. 13
SnAu2Br | the Alexandria database | PBE | relaxed; excess energy over the best structure of this formula in the dataset = 0.0000 eV per atom; V = 28.5 Å³ per atom; space-group type = I-42d (122)
1.0
-5.4305 3.9421 2.3478
-4.5038 -5.2745 -1.5613
-4.4122 -2.3638 4.5273
Au Br Sn
4 2 2
direct
0.8750 0.8928 0.7500
0.6428 0.1250 0.2500
0.1072 0.6250 0.2500
0.3750 0.3572 0.7500
0.2500 0.7500 0.5000
0.5000 0.5000 0.0000
0.0000 0.0000 0.0000
0.7500 0.2500 0.5000



No. 14
CaNd2Se4 | the Alexandria database | PBE | relaxed; excess energy over the best structure of this formula in the dataset = 0.0000 eV per atom; V = 25.6 Å³ per atom; space-group type = I-42d (122)
1.0
-4.3835 -6.2546 1.3375
6.1225 -1.9751 -4.3287
2.4133 2.8882 6.7792
Ca Se Nd
2 8 4
direct
0.7500 0.5000 0.2500
0.0000 0.0000 0.0000
0.6220 0.7476 0.5174
0.9801 0.6046 0.7326
0.1280 0.3954 0.3755
0.2674 0.2476 0.8720
0.7699 0.2524 0.8745
0.4826 0.1046 0.2301
0.1255 0.8954 0.3780
0.6245 0.7524 0.0199
0.2482 0.6232 0.1250
0.3750 0.8768 0.7518
0.5018 0.3768 0.6250
0.8750 0.1232 0.4982



No. 15
PaHg2Pd5 | the Alexandria database | PBE | relaxed; V = 18.1 Å³ per atom; space-group type = I4/mmm (139); DFT formation energy = -503 meV/atom
1.0
-2.8125 -2.4933 -1.8803
2.9223 -2.9935 -0.4016
-2.2032 -0.3321 8.4325
Hg Pd Pa
2 5 1
direct
0.2550 0.2550 0.5101
0.7450 0.7450 0.4899
0.3810 0.8810 0.7620
0.8810 0.3810 0.7620
0.5000 0.5000 0.0000
0.6190 0.1190 0.2380
0.1190 0.6190 0.2380
0.0000 0.0000 0.0000



No. 16
NaIn7Hg12 | the Alexandria database | PBE | relaxed; excess energy over the best structure of this formula in the dataset = 0.0000 eV per atom; V = 27.0 Å³ per atom; space-group type = R-3 (148); DFT formation energy = -10 meV/atom
1.0
-8.3640 -2.8637 0.0821
4.6928 -4.9546 -5.6209
3.4126 -0.8217 8.1143
Hg In Na
12 7 1
direct
0.6673 0.4477 0.2217
0.3327 0.5523 0.7783
0.7434 0.6195 0.9648
0.4477 0.2217 0.6673
0.9648 0.7434 0.6195
0.6195 0.9648 0.7434
0.3805 0.0352 0.2566
0.2217 0.6673 0.4477
0.5523 0.7783 0.3327
0.0352 0.2566 0.3805
0.7783 0.3327 0.5523
0.2566 0.3805 0.0352
0.0640 0.9023 0.3572
0.9023 0.3572 0.0640
0.0977 0.6428 0.9360
0.5000 0.5000 0.5000
0.3572 0.0640 0.9023
0.9360 0.0977 0.6428
0.6428 0.9360 0.0977
0.0000 0.0000 0.0000



No. 17
Cd2ClF3 | the Alexandria database | PBE | relaxed; excess energy over the best structure of this formula in the dataset = 0.0178 eV per atom; V = 19.9 Å³ per atom; space-group type = P-3m1 (164)
1.0
-3.9898 -2.3089 2.5344
4.7151 -3.4546 4.2757
-2.5414 6.5030 1.9235
F Cl Cd
6 2 4
direct
0.1816 0.1671 0.3343
0.8184 0.8329 0.6657
0.8184 0.8329 0.1671
0.8184 0.3343 0.1671
0.1816 0.6657 0.8329
0.1816 0.1671 0.8329
0.6997 0.3333 0.6667
0.3003 0.6667 0.3333
0.0000 0.5000 0.5000
0.0000 0.0000 0.5000
0.0000 0.0000 0.0000
0.0000 0.5000 0.0000



No. 18
Be2NbAsIr | the Alexandria database | PBE | relaxed; V = 16.5 Å³ per atom; space-group type = P4/mmm (123); DFT formation energy = 549 meV/atom
1.0
4.1111 0.0000 0.0000
0.0000 4.8667 0.0000
0.0000 0.0000 4.1111
As Be Ir Nb
1 2 1 1
direct
0.0000 0.5000 0.0000
0.5000 0.0000 0.0000
0.0000 0.0000 0.5000
0.0000 0.0000 0.0000
0.5000 0.5000 0.5000



No. 19
MnBe2Bi | the Alexandria database | PBE | relaxed; V = 17.3 Å³ per atom; space-group type = I-42d (122); DFT formation energy = 606 meV/atom
1.0
4.0572 0.0000 0.0000
0.0000 4.0572 0.0000
2.0286 2.0286 8.3958
Mn Be Bi
2 4 2
direct
0.5000 0.5000 0.0000
0.2500 0.7500 0.5000
0.4602 0.1250 0.2500
0.8750 0.7102 0.7500
0.2898 0.6250 0.2500
0.3750 0.5398 0.7500
0.7500 0.2500 0.5000
0.0000 0.0000 0.0000



No. 20
Np2PaO8 | the Alexandria database | PBE | relaxed; excess energy over the best structure of this formula in the dataset = 0.0253 eV per atom; V = 12.7 Å³ per atom; space-group type = C2/m (12)
1.0
4.5245 -0.0155 -0.0233
-0.7779 5.8874 -0.2260
-0.7779 -2.4760 5.3462
Np O Pa
2 8 1
direct
0.0000 0.3283 0.6717
0.0000 0.6717 0.3283
0.5000 0.8009 0.1991
0.2952 0.6300 0.6300
0.0985 0.3533 0.0823
0.9015 0.6467 0.9177
0.0985 0.0823 0.3533
0.7048 0.3700 0.3700
0.9015 0.9177 0.6467
0.5000 0.1991 0.8009
0.5000 0.0000 0.0000